# 1
DFT (PBE) results for TbPrMg after structural relaxation.

The space group is P4/nmm (No. 129, origin choice 2) and the conventional cell measures 4.732, 4.732 and 8.473 Å, with angles of 90.00, 90.00 and 90.00 degrees. Symmetry generates all atoms from Tb at (0.250, 0.250, 0.243), Pr at (0.250, 0.250, 0.831) and Mg at (0.250, 0.750, 0.500).

The calculation puts the formation energy at 0.189 eV/atom. As for the energy relative to the lowest polymorph listed for this composition: 0.240 eV/atom. The value obtained for the total energy is -10.44 eV/f.u. Its crystal system is tetragonal. As for the density of states at the Fermi level: 4.69 states/eV/f.u.

# 2
DFT (PBE) results for NbMo2Rh2 after structural relaxation.

The space group is P4/mbm (No. 127) and the conventional cell measures 7.625, 7.625 and 2.763 Å, with angles of 90.00, 90.00 and 90.00 degrees. Symmetry generates all atoms from Nb at (0.000, 0.000, 0.000), Mo at (0.172, 0.328, 0.500) and Rh at (0.125, 0.625, 0.000).

The calculation puts the formation energy at -0.039 eV/atom. As for the energy relative to the lowest polymorph listed for this composition: 0.000 eV/atom. The value obtained for the total energy is -46.63 eV/f.u. Its crystal system is tetragonal. As for the density of states at the Fermi level: 4.16 states/eV/f.u.

# 3
DFT (PBE) results for YSi2PdRh after structural relaxation.

The space group is I-4m2 (No. 119) and the conventional cell measures 4.077, 4.077 and 10.087 Å, with angles of 90.00, 90.00 and 90.00 degrees. Symmetry generates all atoms from Y at (0.000, 0.000, 0.000), Si at (0.000, 0.000, 0.384), Pd at (0.000, 0.500, 0.750) and Rh at (0.000, 0.500, 0.250).

The value obtained for the total energy is -34.88 eV/f.u. Its crystal system is tetragonal. As for the density of states at the Fermi level: 2.73 states/eV/f.u.

# 4
DFT (PBE) results for Sc3TeH after structural relaxation.

The space group is Cmc2_1 (No. 36) and the conventional cell measures 3.582, 14.132 and 7.770 Å, with angles of 90.00, 90.00 and 90.00 degrees. Symmetry generates all atoms from Sc at (0.000, 0.076, 0.000), Sc at (0.000, 0.232, 0.593), Sc at (0.000, 0.384, 0.833), Te at (0.000, 0.428, 0.194) and H at (0.000, 0.174, 0.201).

As for the energy relative to the lowest polymorph listed for this composition: 0.004 eV/atom. The value obtained for the total energy is -27.89 eV/f.u. Its crystal system is orthorhombic. As for the density of states at the Fermi level: 4.22 states/eV/f.u.